Entry 1:
First-principles (PBE) data for NdScPdAu after structural relaxation, as listed in Alexandria via LeMat-Bulk.

Unit cell a=4.996 b=4.996 c=4.996 alpha=60.00 beta=60.00 gamma=60.00
Fractional coordinates of all 4 atoms:
Nd (0.000, 0.000, 0.000)
Sc (0.500, 0.500, 0.500)
Pd (0.250, 0.250, 0.250)
Au (0.750, 0.750, 0.750)

Properties
* E_form: -0.730 eV per atom
* symmetry: No. 216

=====

Entry 2:
First-principles (PBE) data for TlIn2Re after structural relaxation, as listed in Alexandria via LeMat-Bulk.

Unit cell a=5.231 b=5.231 c=3.128 alpha=90.00 beta=90.00 gamma=90.00
Fractional coordinates of all 4 atoms:
Tl (0.000, 0.000, 0.000)
In (0.000, 0.500, 0.500)
In (0.500, 0.000, 0.500)
Re (0.500, 0.500, 0.000)

Properties
* distance to the lowest polymorph of the same formula: 7.33 kcal/mol of atoms
* E_form: 0.771 eV per atom
* symmetry: No. 123

=====

Entry 3:
First-principles (PBE) data for NaGa2Pb after structural relaxation, as listed in Alexandria via LeMat-Bulk.

Unit cell a=11.124 b=11.124 c=11.124 alpha=157.53 beta=157.53 gamma=31.98
Fractional coordinates of all 8 atoms:
Na (0.000, 0.000, 0.000)
Na (0.750, 0.250, 0.500)
Ga (0.106, 0.625, 0.981)
Ga (0.375, 0.356, 0.481)
Ga (0.644, 0.125, 0.019)
Ga (0.875, 0.894, 0.519)
Pb (0.250, 0.750, 0.500)
Pb (0.500, 0.500, 0.000)

Properties
* E_form: 0.130 eV per atom
* symmetry: No. 122

=====

Entry 4:
First-principles (PBE) data for NaGaSe2 after structural relaxation, as listed in Alexandria via LeMat-Bulk.

Unit cell a=8.011 b=8.011 c=8.011 alpha=30.07 beta=30.07 gamma=30.07
Fractional coordinates of all 4 atoms:
Na (0.000, 0.000, 0.000)
Ga (0.490, 0.490, 0.490)
Se (0.390, 0.390, 0.390)
Se (0.869, 0.869, 0.869)

Properties
* raw formation energy: -258 kJ/mol of formula units
* symmetry: No. 160

=====

It is found that the spin magnetization values, taken in the order of the records, are 0.0; 0.6; 0.0; 0.0 μB/cell.
It is found that the total energy values, taken in the order of the records, are -22.49; -17.21; -21.12; -13.99 eV/cell.